{
  "formula": "CdIn2Re",
  "functional": "PBE-GGA",
  "state": "optimized geometry",
  "lattice": [[2.985, 0.446, 0.000], [-0.446, 2.985, 0.000], [0.000, 0.000, 9.183]],
  "species": ["In", "Re", "Cd", "In"],
  "frac_coords": [[0.000, 0.000, 0.036], [0.500, 0.500, 0.250], [0.500, 0.500, 0.750], [0.000, 0.000, 0.464]],
  "m_tot_mub_per_fu": 0.0,
  "formation_energy_ev_per_fu": 2.04,
  "e_tot_ev_per_cell": -16.80
}